1.
{"formula": "CsNaV2I8", "functional": "GGA-PBE", "state": "optimized geometry", "lattice": [[-4.6018, -5.9743, 1.1208], [0.9699, -4.4669, 6.1017], [-8.0989, 2.9083, 8.1794]], "species": ["Cs", "Na", "V", "V", "I", "I", "I", "I", "I", "I", "I", "I"], "fractional_positions": [[0.5000, 0.5000, 0.5000], [0.0000, 0.0000, 0.0000], [0.2495, 0.2495, 0.2515], [0.7505, 0.7505, 0.7485], [0.1714, 0.1714, 0.4859], [0.5914, 0.2867, 0.1797], [0.8286, 0.8286, 0.5141], [0.9423, 0.5914, 0.1797], [0.0577, 0.4086, 0.8203], [0.2867, 0.9423, 0.1797], [0.7133, 0.0577, 0.8203], [0.4086, 0.7133, 0.8203]], "spacegroup": "No. 148", "rho_g_cm3": 3.8, "energy_ev_per_atom": -3.46}

=====

2.
{"formula": "PmSmTc", "functional": "GGA-PBE", "state": "optimized geometry", "lattice": [[3.5169, 0.0000, 0.0000], [0.0000, 3.5169, 0.0000], [-1.7585, -1.7585, 6.5502]], "species": ["Tc", "Sm", "Pm"], "fractional_positions": [[0.6661, 0.6661, 0.3323], [0.0392, 0.0392, 0.0784], [0.2947, 0.2947, 0.5893]], "spacegroup": "No. 107", "rho_g_cm3": 8.1, "energy_ev_per_atom": -6.54, "polymorph_energy_mev_per_atom": 7, "ef_ev_per_atom": 0.07}

=====

3.
{"formula": "CaAc3Hg5", "functional": "GGA-PBE", "state": "optimized geometry", "lattice": [[6.8965, 0.0000, 0.0000], [0.0000, 8.4624, -4.8858], [0.0000, 0.0001, 9.7715]], "species": ["Ca", "Ca", "Ac", "Ac", "Ac", "Ac", "Ac", "Ac", "Hg", "Hg", "Hg", "Hg", "Hg", "Hg", "Hg", "Hg", "Hg", "Hg"], "fractional_positions": [[0.0000, 0.0000, 0.0000], [0.5000, 0.0000, 0.0000], [0.7500, 0.3717, 0.3717], [0.7500, 0.0000, 0.6283], [0.7500, 0.6283, 0.0000], [0.2500, 0.6283, 0.6283], [0.2500, 0.0000, 0.3717], [0.2500, 0.3717, 0.0000], [0.0000, 0.6667, 0.3333], [0.5000, 0.3333, 0.6667], [0.0000, 0.3333, 0.6667], [0.5000, 0.6667, 0.3333], [0.7500, 0.7103, 0.7103], [0.7500, 0.0000, 0.2897], [0.7500, 0.2897, 0.0000], [0.2500, 0.2897, 0.2897], [0.2500, 0.0000, 0.7103], [0.2500, 0.7103, 0.0000]], "spacegroup": "No. 193", "rho_g_cm3": 10.0, "energy_ev_per_atom": -2.22, "ef_ev_per_atom": -0.46}

=====

4.
{"formula": "Tb4AgAu2", "functional": "GGA-PBE", "state": "optimized geometry", "lattice": [[4.8513, 0.0000, 0.0000], [2.4257, 4.2014, 0.0000], [2.4257, 1.4005, 9.5567]], "species": ["Tb", "Tb", "Tb", "Tb", "Ag", "Au", "Au"], "fractional_positions": [[0.7032, 0.7032, 0.8905], [0.8823, 0.8823, 0.3531], [0.2968, 0.2968, 0.1095], [0.1177, 0.1177, 0.6469], [0.5000, 0.5000, 0.5000], [0.5990, 0.5990, 0.2030], [0.4010, 0.4010, 0.7970]], "spacegroup": "No. 166", "rho_g_cm3": 9.7, "energy_ev_per_atom": -4.41, "polymorph_energy_mev_per_atom": 101, "ef_ev_per_atom": -0.42}

=====

5.
{"formula": "CoTeBr6", "functional": "GGA-PBE", "state": "optimized geometry", "lattice": [[6.6067, 0.2548, 0.9139], [1.5498, 5.6539, 3.1911], [0.0969, -0.2353, 7.3505]], "species": ["Co", "Te", "Br", "Br", "Br", "Br", "Br", "Br"], "fractional_positions": [[0.0000, 0.0000, 0.0000], [0.5000, 0.5000, 0.0000], [0.7696, 0.3686, 0.7230], [0.7696, 0.0916, 0.2770], [0.2304, 0.9084, 0.7230], [0.2304, 0.6314, 0.2770], [0.7500, 0.7496, 0.0000], [0.2500, 0.2504, 0.0000]], "spacegroup": "No. 12", "rho_g_cm3": 4.0, "energy_ev_per_atom": -2.78}

=====

6.
{"formula": "Nd2GaPdO6", "functional": "GGA-PBE", "state": "optimized geometry", "lattice": [[-0.2656, -4.7955, -2.7538], [5.0798, -1.5969, 2.2908], [-3.8425, -3.3423, 6.1910]], "species": ["Nd", "Nd", "Nd", "Nd", "Ga", "Ga", "Pd", "Pd", "O", "O", "O", "O", "O", "O", "O", "O", "O", "O", "O", "O"], "fractional_positions": [[0.5000, 0.7891, 0.2194], [0.0000, 0.2109, 0.7194], [0.5000, 0.7891, 0.7806], [0.0000, 0.2109, 0.2806], [0.5000, 0.2479, 0.5000], [0.0000, 0.7521, 0.0000], [0.0000, 0.7298, 0.5000], [0.5000, 0.2702, 0.0000], [0.5000, 0.2092, 0.2576], [0.5000, 0.2092, 0.7424], [0.0000, 0.7908, 0.2424], [0.0000, 0.7908, 0.7576], [0.2434, 0.9974, 0.5000], [0.7566, 0.9974, 0.5000], [0.2277, 0.4475, 0.5000], [0.7723, 0.4475, 0.5000], [0.7277, 0.5525, 0.0000], [0.2723, 0.5525, 0.0000], [0.2566, 0.0026, 0.0000], [0.7434, 0.0026, 0.0000]], "spacegroup": "No. 59", "rho_g_cm3": 7.2, "energy_ev_per_atom": -6.79}

=====

7.
{"formula": "Ac2ZnNi4Sb3", "functional": "GGA-PBE", "state": "optimized geometry", "lattice": [[-2.5965, 2.7592, 2.4389], [-3.0438, 0.0718, -3.3217], [-4.6768, -8.0356, 4.1119]], "species": ["Ac", "Ac", "Zn", "Ni", "Ni", "Ni", "Ni", "Sb", "Sb", "Sb"], "fractional_positions": [[0.5000, 0.0000, 0.2441], [0.0000, 0.5000, 0.7559], [0.5000, 0.5000, 0.5000], [0.5000, 0.5000, 0.0000], [0.0000, 0.0000, 0.0000], [0.5000, 0.0000, 0.6181], [0.0000, 0.5000, 0.3819], [0.0000, 0.0000, 0.5000], [0.5000, 0.0000, 0.8728], [0.0000, 0.5000, 0.1272]], "spacegroup": "No. 115", "rho_g_cm3": 9.0, "energy_ev_per_atom": -5.12}

=====

8.
{"formula": "SrHf3Ni", "functional": "GGA-PBE", "state": "optimized geometry", "lattice": [[-1.1125, -2.1433, -4.3763], [4.7725, -1.3860, -0.5344], [-0.9843, -4.2975, 2.3550]], "species": ["Sr", "Hf", "Hf", "Hf", "Ni"], "fractional_positions": [[0.5000, 0.5000, 0.5000], [0.0000, 0.5000, 0.0000], [0.0000, 0.0000, 0.5000], [0.5000, 0.0000, 0.0000], [0.0000, 0.0000, 0.0000]], "spacegroup": "No. 221", "rho_g_cm3": 9.1, "energy_ev_per_atom": -7.12, "polymorph_energy_mev_per_atom": 0, "ef_ev_per_atom": 0.35}